# LiZn2Cu5 PBE-GGA relaxed
# - DFT formation energy: -0.098 eV per atom
# - Crystal system: tetragonal
data_LiZn2Cu5
_chemical_formula_sum 'Li2 Zn4 Cu10'
_cell_length_a 5.225
_cell_length_b 5.225
_cell_length_c 7.349
_cell_angle_alpha 90.00
_cell_angle_beta 90.00
_cell_angle_gamma 90.00
_space_group_name_H-M_alt 'I 4/m m m'
_space_group_IT_number 139
_space_group_name_Hall '-I 4 2'
loop_
_atom_site_label
_atom_site_fract_x
_atom_site_fract_y
_atom_site_fract_z
Li1 0.000 0.000 0.000
Zn1 0.000 0.500 0.000
Cu1 0.000 0.000 0.500
Cu2 0.250 0.250 0.250



# LiZn3Cu PBE-GGA relaxed
# - DFT formation energy: -0.091 eV per atom
# - Crystal system: orthorhombic
data_LiZn3Cu
_chemical_formula_sum 'Li8 Zn24 Cu8'
_cell_length_a 10.137
_cell_length_b 10.390
_cell_length_c 5.648
_cell_angle_alpha 90.00
_cell_angle_beta 90.00
_cell_angle_gamma 90.00
_space_group_name_H-M_alt 'C m c e'
_space_group_IT_number 64
_space_group_name_Hall '-C 2ac 2'
loop_
_atom_site_label
_atom_site_fract_x
_atom_site_fract_y
_atom_site_fract_z
Li1 0.250 0.001 0.250
Zn1 0.000 0.094 0.634
Zn2 0.145 0.247 0.377
Cu1 0.000 0.101 0.116



# Li2Zn8Cu3 PBE-GGA relaxed
# - DFT formation energy: -0.014 eV per atom
# - Crystal system: orthorhombic
data_Li2Zn8Cu3
_chemical_formula_sum 'Li4 Zn16 Cu6'
_cell_length_a 6.554
_cell_length_b 13.646
_cell_length_c 4.304
_cell_angle_alpha 90.00
_cell_angle_beta 90.00
_cell_angle_gamma 90.00
_space_group_name_H-M_alt 'C m m m'
_space_group_IT_number 65
_space_group_name_Hall '-C 2 2'
loop_
_atom_site_label
_atom_site_fract_x
_atom_site_fract_y
_atom_site_fract_z
Li1 0.000 0.223 0.000
Zn1 0.000 0.122 0.500
Zn2 0.000 0.324 0.500
Zn3 0.191 0.397 0.000
Cu1 0.000 0.000 0.000
Cu2 0.195 0.500 0.500



# Li2ZnCu PBE-GGA relaxed
# - DFT formation energy: 0.067 eV per atom
# - Crystal system: tetragonal
data_Li2ZnCu
_chemical_formula_sum 'Li8 Zn4 Cu4'
_cell_length_a 3.563
_cell_length_b 3.563
_cell_length_c 18.801
_cell_angle_alpha 90.00
_cell_angle_beta 90.00
_cell_angle_gamma 90.00
_space_group_name_H-M_alt 'I -4 2 d'
_space_group_IT_number 122
_space_group_name_Hall 'I -4 2bw'
loop_
_atom_site_label
_atom_site_fract_x
_atom_site_fract_y
_atom_site_fract_z
Li1 0.245 0.250 0.125
Zn1 0.000 0.000 0.500
Cu1 0.000 0.000 0.000



# Li2ZnCu PBE-GGA relaxed
# - DFT formation energy: -0.096 eV per atom
# - Crystal system: monoclinic
data_Li2ZnCu
_chemical_formula_sum 'Li4 Zn2 Cu2'
_cell_length_a 9.534
_cell_length_b 3.104
_cell_length_c 4.143
_cell_angle_alpha 90.00
_cell_angle_beta 115.33
_cell_angle_gamma 90.00
_space_group_name_H-M_alt 'C 1 2/m 1'
_space_group_IT_number 12
loop_
_space_group_symop_operation_xyz
'x,y,z'
'-x,-y,-z'
'-x,y,-z'
'x,-y,z'
'x+1/2,y+1/2,z'
'-x+1/2,-y+1/2,-z'
'-x+1/2,y+1/2,-z'
'x+1/2,-y+1/2,z'
loop_
_atom_site_label
_atom_site_fract_x
_atom_site_fract_y
_atom_site_fract_z
Li1 0.244 0.000 0.243
Zn1 0.000 0.000 0.500
Cu1 0.000 0.500 0.000



# Li2Zn2Cu PBE-GGA relaxed
# - DFT formation energy: 0.108 eV per atom
# - Crystal system: tetragonal
data_Li2Zn2Cu
_chemical_formula_sum 'Li4 Zn4 Cu2'
_cell_length_a 3.463
_cell_length_b 3.463
_cell_length_c 12.817
_cell_angle_alpha 90.00
_cell_angle_beta 90.00
_cell_angle_gamma 90.00
_space_group_name_H-M_alt 'I 4/m m m'
_space_group_IT_number 139
_space_group_name_Hall '-I 4 2'
loop_
_atom_site_label
_atom_site_fract_x
_atom_site_fract_y
_atom_site_fract_z
Li1 0.000 0.500 0.250
Zn1 0.000 0.000 0.096
Cu1 0.000 0.000 0.500



# Li8ZnCu2 PBE-GGA relaxed
# - DFT formation energy: 0.085 eV per atom
# - Crystal system: monoclinic
data_Li8ZnCu2
_chemical_formula_sum 'Li16 Zn2 Cu4'
_cell_length_a 9.775
_cell_length_b 9.660
_cell_length_c 4.491
_cell_angle_alpha 90.00
_cell_angle_beta 98.84
_cell_angle_gamma 90.00
_space_group_name_H-M_alt 'C 1 2/m 1'
_space_group_IT_number 12
loop_
_space_group_symop_operation_xyz
'x,y,z'
'-x,-y,-z'
'-x,y,-z'
'x,-y,z'
'x+1/2,y+1/2,z'
'-x+1/2,-y+1/2,-z'
'-x+1/2,y+1/2,-z'
'x+1/2,-y+1/2,z'
loop_
_atom_site_label
_atom_site_fract_x
_atom_site_fract_y
_atom_site_fract_z
Li1 0.094 0.000 0.298
Li2 0.117 0.260 0.751
Li3 0.242 0.000 0.879
Zn1 0.000 0.500 0.000
Cu1 0.125 0.500 0.546



# Li3Zn2Cu7 PBE-GGA relaxed
# - DFT formation energy: -0.055 eV per atom
# - Crystal system: trigonal
data_Li3Zn2Cu7
_chemical_formula_sum 'Li9 Zn6 Cu21'
_cell_length_a 4.9262
_cell_length_b 4.9262
_cell_length_c 24.5763
_cell_angle_alpha 90.00
_cell_angle_beta 90.00
_cell_angle_gamma 120.00
_space_group_name_H-M_alt 'R -3 m'
_space_group_IT_number 166
_space_group_name_Hall '-R 3 2"'
loop_
_atom_site_label
_atom_site_fract_x
_atom_site_fract_y
_atom_site_fract_z
Li1 0.0000 0.0000 0.0000
Li2 0.0000 0.0000 0.1446
Zn1 0.0000 0.0000 0.3329
Cu1 0.0000 0.0000 0.5000
Cu2 0.0024 0.5012 0.9146